# 1
This record from the Alexandria database describes a relaxed structure of Cd5In5Hg6. The functional is GGA-PBE.

Cell lengths 6.0285, 8.8444, 8.8444 Å; angles 119.90, 90.00, 90.00 degrees
Atoms (fractional coordinates):
Cd: 0.0000 0.0000 0.0000
Cd: 0.2496 0.1275 0.4656
Cd: 0.2496 0.4656 0.1275
Cd: 0.7504 0.1275 0.4656
Cd: 0.7504 0.4656 0.1275
In: 0.0000 0.5572 0.7837
In: 0.0000 0.7837 0.5572
In: 0.5000 0.0213 0.7998
In: 0.5000 0.5711 0.5711
In: 0.5000 0.7998 0.0213
Hg: 0.0000 0.1919 0.7989
Hg: 0.0000 0.3717 0.3717
Hg: 0.0000 0.7989 0.1919
Hg: 0.5000 0.2051 0.2051
Hg: 0.5000 0.3897 0.7969
Hg: 0.5000 0.7969 0.3897

Calculated values
Formation enthalpy at 0 K   0.029 eV per atom
SG   No. 38
Total magnetization   0.0 μB per formula unit
E   -19.62 eV per cell
Fermi-level density of states   5.71 states/eV/f.u.

# 2
This record from the Alexandria database describes a relaxed structure of Cu3Mo. The functional is GGA-PBE.

Cell lengths 2.5117, 4.0125, 5.3483 Å; angles 90.00, 103.11, 90.00 degrees
Atoms (fractional coordinates):
Cu: 0.0000 0.0000 0.0000
Cu: 0.4244 0.5000 0.2428
Cu: 0.5756 0.5000 0.7572
Mo: 0.0000 0.0000 0.5000

Calculated values
Formation enthalpy at 0 K   0.235 eV per atom
SG   No. 10
Total magnetization   0.0 μB per formula unit
E   -22.18 eV per cell
Fermi-level density of states   1.98 states/eV/f.u.

# 3
This record from the Alexandria database describes a relaxed structure of Al2InFeIr. The functional is GGA-PBE.

Cell lengths 4.7043, 4.7043, 5.1391 Å; angles 90.00, 90.00, 90.00 degrees
Atoms (fractional coordinates):
Al: 0.0000 0.5000 0.0000
Al: 0.5000 0.0000 0.0000
In: 0.0000 0.0000 0.5000
Fe: 0.5000 0.5000 0.5000
Ir: 0.0000 0.0000 0.0000

Calculated values
Formation enthalpy at 0 K   0.396 eV per atom
SG   No. 123
Total magnetization   3.3 μB per formula unit
E   -25.57 eV per cell
Fermi-level density of states   3.99 states/eV/f.u.

# 4
This record from the Alexandria database describes a relaxed structure of La5Si2Au2. The functional is GGA-PBE.

Cell lengths 8.9400, 8.9400, 7.9611 Å; angles 90.00, 90.00, 53.21 degrees
Atoms (fractional coordinates):
La: 0.0000 0.0000 0.0000
La: 0.0439 0.6877 0.6720
La: 0.1877 0.5439 0.1720
La: 0.3123 0.9561 0.6720
La: 0.4561 0.8123 0.1720
La: 0.5000 0.5000 0.5000
La: 0.5439 0.1877 0.8280
La: 0.6877 0.0439 0.3280
La: 0.8123 0.4561 0.8280
La: 0.9561 0.3123 0.3280
Si: 0.1133 0.8867 0.3866
Si: 0.3867 0.6133 0.8866
Si: 0.6133 0.3867 0.1134
Si: 0.8867 0.1133 0.6134
Au: 0.2073 0.2073 0.0000
Au: 0.2927 0.2927 0.5000
Au: 0.7073 0.7073 0.5000
Au: 0.7927 0.7927 0.0000

Calculated values
SG   No. 64
Total magnetization   0.0 μB per formula unit
E   -96.66 eV per cell
E_form (uncorrected)   -6.291 eV per formula unit
Fermi-level density of states   9.81 states/eV/f.u.